(1)
Material: CaTaSe2
Method: DFT, meta-GGA SCAN
State: PBEsol geometry

a b c (Å): 3.4899 3.5346 13.2095
angles (deg): 90.00 90.00 90.00
With the nearest neighbours (Å) after each atom.
Space group Imm2 (No. 44)
Inequivalent atoms, fractional coordinates:
Ca 0.0000 0.0000 0.0000 [2 per cell]  6 Se 2.82-2.90
Ta 0.0000 0.5000 0.2447 [2 per cell]  6 Se 2.58-2.70
Se 0.0000 0.0000 0.6011 [2 per cell]  2 Ta 2.58, 4 Ca 2.82
Se 0.0000 0.5000 0.8257 [2 per cell]  4 Ta 2.70, 2 Ca 2.90

Computed properties:
* energy above the lowest structure with this stoichiometry: 0 meV per atom
* uncorrected formation energy: -948 meV/atom

(2)
Material: YReNi2
Method: DFT, meta-GGA SCAN
State: PBEsol geometry

a b c (Å): 3.7474 3.7474 8.5011
angles (deg): 90.00 90.00 90.00
With the nearest neighbours (Å) after each atom.
Space group I-4m2 (No. 119)
Inequivalent atoms, fractional coordinates:
Y 0.0000 0.0000 0.0000 [2 per cell]  8 Ni 2.65-2.83, 4 Re 2.83
Re 0.0000 0.5000 0.7500 [2 per cell]  8 Ni 2.65-2.83, 4 Y 2.83
Ni 0.0000 0.0000 0.5000 [2 per cell]  4 Y 2.65, 4 Re 2.83, 4 Ni 2.83
Ni 0.0000 0.5000 0.2500 [2 per cell]  4 Re 2.65, 4 Ni 2.83, 4 Y 2.83

Computed properties:
* energy above the lowest structure with this stoichiometry: 168 meV per atom
* energy relative to the elements: 332 meV/atom

(3)
Material: TiNCl
Method: DFT, meta-GGA SCAN
State: PBEsol geometry

a b c (Å): 3.2358 3.9307 8.1762
angles (deg): 90.00 90.00 90.00
With the nearest neighbours (Å) after each atom.
Space group Pmmn (No. 59, origin choice 2)
Inequivalent atoms, fractional coordinates:
Ti 0.2500 0.2500 0.0932 [2 per cell]  4 N 1.99-2.00
N 0.2500 0.7500 0.0476 [2 per cell]  4 Ti 1.99-2.00
Cl 0.2500 0.7500 0.6840 [2 per cell]  2 Ti 2.44

Computed properties:
* uncorrected formation energy: -1781 meV/atom

(4)
Material: CaLaMnFe2
Method: DFT, meta-GGA SCAN
State: PBEsol geometry

a b c (Å): 4.6478 4.6478 5.0015
angles (deg): 90.00 90.00 90.00
With the nearest neighbours (Å) after each atom.
Space group P4/mmm (No. 123)
Inequivalent atoms, fractional coordinates:
Ca 0.0000 0.0000 0.0000 [1 per cell]  4 Mn 3.29, 8 Fe 3.41
La 0.5000 0.5000 0.5000 [1 per cell]  4 Fe 2.32, 2 Mn 2.50
Mn 0.5000 0.5000 0.0000 [1 per cell]  2 La 2.50
Fe 0.0000 0.5000 0.5000 [2 per cell]  2 La 2.32

Computed properties:
* energy relative to the elements: 1201 meV/atom